# Dy3Co2P4 PBE-GGA relaxed
data_Dy3Co2P4
_chemical_formula_sum 'Dy3 Co2 P4'
_cell_length_a 3.910
_cell_length_b 5.866
_cell_length_c 8.124
_cell_angle_alpha 114.11
_cell_angle_beta 90.00
_cell_angle_gamma 109.46
_symmetry_space_group_name_H-M 'P 1'
_symmetry_Int_Tables_number 1
loop_
_symmetry_equiv_pos_as_xyz
'x,y,z'
loop_
_atom_site_label
_atom_site_fract_x
_atom_site_fract_y
_atom_site_fract_z
P1 0.097 0.195 0.400
P2 0.309 0.617 0.892
Dy1 0.371 0.743 0.284
P3 0.691 0.383 0.108
Co1 0.688 0.376 0.384
Dy2 0.629 0.257 0.716
Co2 0.312 0.624 0.616
P4 0.903 0.805 0.600
Dy3 0.000 0.000 0.000
# Spin magnetization in μB/cell: 0.00
# Formation energy from the elements in eV per atom: -1.10
# Uncorrected energy in eV per atom: -6.617